Entry P
{"formula": "Ca2NiF", "functional": "PBE+U", "state": "relaxed", "cell": [[6.5838, 0.0000, 0.0000], [0.0000, 6.5838, 0.0000], [0.0000, 0.0000, 7.9235]], "species": ["Ca", "Ca", "Ca", "Ca", "Ca", "Ca", "Ca", "Ca", "Ni", "Ni", "Ni", "Ni", "F", "F", "F", "F"], "frac_coords": [[0.2037, 0.7500, 0.1250], [0.2500, 0.2037, 0.8750], [0.2500, 0.2963, 0.3750], [0.2963, 0.7500, 0.6250], [0.7037, 0.2500, 0.6250], [0.7500, 0.7037, 0.3750], [0.7500, 0.7963, 0.8750], [0.7963, 0.2500, 0.1250], [0.0000, 0.0000, 0.5000], [0.0000, 0.5000, 0.7500], [0.5000, 0.0000, 0.2500], [0.5000, 0.5000, 0.0000], [0.0000, 0.0000, 0.0000], [0.0000, 0.5000, 0.2500], [0.5000, 0.0000, 0.7500], [0.5000, 0.5000, 0.5000]], "dos_at_fermi_per_ev_atom": 0.46, "rho_g_cm3": 3.05}

=====

Entry Q
{"formula": "Ca2NiF", "functional": "PBE+U", "state": "relaxed", "cell": [[6.7690, 0.0000, 0.0000], [0.0000, 6.7690, 0.0000], [0.0000, 0.0000, 6.7690]], "species": ["Ca", "Ca", "Ca", "Ca", "Ca", "Ca", "Ca", "Ca", "Ni", "Ni", "Ni", "Ni", "F", "F", "F", "F"], "frac_coords": [[0.2500, 0.2500, 0.2500], [0.2500, 0.2500, 0.7500], [0.2500, 0.7500, 0.2500], [0.2500, 0.7500, 0.7500], [0.7500, 0.2500, 0.2500], [0.7500, 0.2500, 0.7500], [0.7500, 0.7500, 0.2500], [0.7500, 0.7500, 0.7500], [0.0000, 0.0000, 0.0000], [0.0000, 0.5000, 0.5000], [0.5000, 0.0000, 0.5000], [0.5000, 0.5000, 0.0000], [0.0000, 0.0000, 0.5000], [0.0000, 0.5000, 0.0000], [0.5000, 0.0000, 0.0000], [0.5000, 0.5000, 0.5000]], "dos_at_fermi_per_ev_atom": 0.95, "rho_g_cm3": 3.38}

=====

Stability verdict: entry P, ahead by 318 meV/atom